(1)
# Co2SiAg

Crystalline Co2SiAg at its relaxed geometry (GGA-PBE, Alexandria).

Computed properties:
- raw formation energy (meV/atom) = 470
- DOS(E_F) (states/eV per atom) = 0.700
- space-group type = I-42d
- M_tot (μB/f.u.) = 2.76

Cell: 3.762 3.762 8.871 Å, 77.76 77.76 90.00°
Site moments in Bohr magnetons follow the coordinates.
Atoms (fractional coordinates):
Si  0.500  0.500  0.000  0.00
Co  0.532  0.125  0.250  1.40
Ag  0.000  0.000  0.000  -0.01
Co  0.218  0.625  0.250  1.36
Ag  0.750  0.250  0.500  -0.01
Co  0.375  0.468  0.750  1.44
Co  0.875  0.782  0.750  1.40
Si  0.250  0.750  0.500  0.00


(2)
# AlV

Crystalline AlV at its relaxed geometry (GGA-PBE, Alexandria).

Computed properties:
- DOS(E_F) (states/eV per atom) = 1.923
- space-group type = Pm-3n
- formation energy from the elements (eV per formula unit) = 3.5
- M_tot (μB/f.u.) = 3.29

Cell: 7.328 7.328 7.328 Å, 90.00 90.00 90.00°
Site moments in Bohr magnetons follow the coordinates.
Atoms (fractional coordinates):
Al  0.500  0.750  0.000  0.04
Al  0.750  0.000  0.500  0.04
V  0.500  0.000  0.750  2.60
V  0.750  0.500  0.000  2.60
Al  0.000  0.500  0.250  0.04
V  0.000  0.250  0.500  2.60
V  0.000  0.750  0.500  2.60
Al  0.000  0.500  0.750  0.04
Al  0.250  0.000  0.500  0.04
V  0.500  0.000  0.250  2.60
Al  0.500  0.250  0.000  0.04
V  0.250  0.500  0.000  2.60


(3)
# Mg3NiSn3Ru2

Crystalline Mg3NiSn3Ru2 at its relaxed geometry (GGA-PBE, Alexandria).

Computed properties:
- DOS(E_F) (states/eV per atom) = 0.533
- space-group type = P-62m
- formation energy from the elements (eV per formula unit) = -1.5
- M_tot (μB/f.u.) = 0.00

Cell: 3.325 7.425 7.425 Å, 120.00 90.00 90.00°
Atoms (fractional coordinates):
Ru  0.500  0.333  0.667
Sn  0.000  0.621  0.621
Ni  0.000  0.000  0.000
Mg  0.500  0.734  0.000
Sn  0.000  0.379  0.000
Sn  0.000  0.000  0.379
Mg  0.500  0.000  0.734
Ru  0.500  0.667  0.333
Mg  0.500  0.266  0.266


(4)
# Ac4Te3P

Crystalline Ac4Te3P at its relaxed geometry (GGA-PBE, Alexandria).

Computed properties:
- raw formation energy (meV/atom) = -1528
- DOS(E_F) (states/eV per atom) = 0.505
- space-group type = Cmmm
- M_tot (μB/f.u.) = 0.00

Cell: 4.602 8.128 8.128 Å, 108.74 90.00 90.00°
Atoms (fractional coordinates):
Te  0.500  0.500  0.500
Ac  0.500  0.233  0.767
Ac  0.500  0.767  0.233
Te  0.000  0.000  0.500
Ac  0.000  0.222  0.222
P  0.500  0.000  0.000
Te  0.000  0.500  0.000
Ac  0.000  0.778  0.778


(5)
# RbYIn2P

Crystalline RbYIn2P at its relaxed geometry (GGA-PBE, Alexandria).

Computed properties:
- DOS(E_F) (states/eV per atom) = 1.070
- space-group type = P4/mmm
- formation energy from the elements (eV per formula unit) = 5.2
- M_tot (μB/f.u.) = 0.00
- E above lowest polymorph (eV/atom) = 0.479

Cell: 5.791 6.594 5.791 Å, 90.00 90.00 90.00°
Atoms (fractional coordinates):
Y  0.000  0.000  0.000
In  0.000  0.000  0.500
In  0.500  0.000  0.000
Rb  0.000  0.500  0.000
P  0.500  0.500  0.500


(6)
# SmDyCBr

Crystalline SmDyCBr at its relaxed geometry (GGA-PBE, Alexandria).

Computed properties:
- raw formation energy (meV/atom) = -931
- DOS(E_F) (states/eV per atom) = 0.499
- space-group type = R3m
- M_tot (μB/f.u.) = 0.00

Cell: 3.715 3.715 7.558 Å, 90.00 104.22 120.00°
Atoms (fractional coordinates):
Br  0.962  0.379  0.357
Dy  0.090  0.943  0.048
C  0.311  0.553  0.880
Sm  0.515  0.155  0.686


(7)
# Cs6TeI4

Crystalline Cs6TeI4 at its relaxed geometry (GGA-PBE, Alexandria).

Computed properties:
- raw formation energy (meV/atom) = -1344
- DOS(E_F) (states/eV per atom) = 0.000
- space-group type = R-3c
- M_tot (μB/f.u.) = 0.17

Cell: 11.022 11.022 11.022 Å, 90.27 90.27 89.73°
Site moments in Bohr magnetons follow the coordinates.
Atoms (fractional coordinates):
Cs  0.055  0.927  0.310  0.00
Cs  0.927  0.690  0.945  0.00
I  0.124  0.750  0.624  0.00
Cs  0.573  0.445  0.190  0.00
I  0.250  0.624  0.124  0.00
Cs  0.310  0.945  0.927  0.00
Cs  0.445  0.810  0.427  0.00
Te  0.000  0.000  0.000  0.07
I  0.250  0.250  0.750  0.00
I  0.624  0.876  0.750  0.00
Te  0.500  0.500  0.500  0.07
I  0.750  0.750  0.250  0.00
I  0.376  0.124  0.250  0.00
I  0.876  0.250  0.376  0.00
Cs  0.190  0.427  0.445  0.00
Cs  0.690  0.055  0.073  0.00
Cs  0.427  0.555  0.810  0.00
Cs  0.555  0.190  0.573  0.00
Cs  0.810  0.573  0.555  0.00
Cs  0.945  0.073  0.690  0.00
Cs  0.073  0.310  0.055  0.00
I  0.750  0.376  0.876  0.00


(8)
# BeNbSbPIr

Crystalline BeNbSbPIr at its relaxed geometry (GGA-PBE, Alexandria).

Computed properties:
- raw formation energy (meV/atom) = -203
- DOS(E_F) (states/eV per atom) = 0.390
- space-group type = P1
- M_tot (μB/f.u.) = 0.00
- E above lowest polymorph (eV/atom) = 0.191

Cell: 3.251 4.537 5.952 Å, 84.56 84.39 71.67°
Atoms (fractional coordinates):
Nb  0.483  0.551  0.842
Be  0.804  0.004  0.576
P  0.192  0.128  0.791
Sb  0.395  0.559  0.355
Ir  0.093  0.145  0.178


(9)
# LaErCdAg

Crystalline LaErCdAg at its relaxed geometry (GGA-PBE, Alexandria).

Computed properties:
- DOS(E_F) (states/eV per atom) = 0.693
- space-group type = F-43m
- formation energy from the elements (eV per formula unit) = -1.1
- M_tot (μB/f.u.) = 0.00
- E above lowest polymorph (eV/atom) = 0.023

Cell: 5.343 5.343 5.343 Å, 60.00 60.00 60.00°
Atoms (fractional coordinates):
Er  0.000  0.000  0.000
Ag  0.250  0.250  0.250
La  0.500  0.500  0.500
Cd  0.750  0.750  0.750


(10)
# CaAs2Ir

Crystalline CaAs2Ir at its relaxed geometry (GGA-PBE, Alexandria).

Computed properties:
- DOS(E_F) (states/eV per atom) = 0.624
- space-group type = Pmmm
- formation energy from the elements (eV per formula unit) = -0.7
- M_tot (μB/f.u.) = 0.00

Cell: 4.387 4.303 3.898 Å, 90.00 90.00 90.00°
Atoms (fractional coordinates):
Ca  0.500  0.000  0.500
As  0.000  0.000  0.000
As  0.500  0.500  0.000
Ir  0.000  0.500  0.500


(11)
# Th4SnSb2Se

Crystalline Th4SnSb2Se at its relaxed geometry (GGA-PBE, Alexandria).

Computed properties:
- raw formation energy (meV/atom) = -956
- DOS(E_F) (states/eV per atom) = 0.624
- space-group type = P2/m
- M_tot (μB/f.u.) = 0.00

Cell: 4.448 7.745 7.649 Å, 70.44 90.00 90.00°
Atoms (fractional coordinates):
Sn  0.000  0.500  0.500
Se  0.500  0.500  0.000
Sb  0.000  0.000  0.000
Sb  0.500  0.000  0.500
Th  0.500  0.741  0.244
Th  0.000  0.265  0.236
Th  0.000  0.735  0.764
Th  0.500  0.259  0.756


(12)
# MgTaSCl2

Crystalline MgTaSCl2 at its relaxed geometry (GGA-PBE, Alexandria).

Computed properties:
- raw formation energy (meV/atom) = 35
- DOS(E_F) (states/eV per atom) = 0.973
- space-group type = P4/mmm
- M_tot (μB/f.u.) = 2.99
- E above lowest polymorph (eV/atom) = 0.485

Cell: 4.578 4.578 5.183 Å, 90.00 90.00 90.00°
Site moments in Bohr magnetons follow the coordinates.
Atoms (fractional coordinates):
Ta  0.500  0.500  0.500  2.10
Cl  0.500  0.000  0.000  0.00
S  0.000  0.000  0.500  -0.10
Cl  0.000  0.500  0.000  0.00
Mg  0.000  0.000  0.000  0.00


(13)
# ErTm12Al3

Crystalline ErTm12Al3 at its relaxed geometry (GGA-PBE, Alexandria).

Computed properties:
- DOS(E_F) (states/eV per atom) = 1.002
- space-group type = P4/mmm
- formation energy from the elements (eV per formula unit) = -2.1
- M_tot (μB/f.u.) = 0.00

Cell: 4.732 4.732 19.211 Å, 90.00 90.00 90.00°
Atoms (fractional coordinates):
Tm  0.000  0.500  0.134
Al  0.000  0.000  0.257
Tm  0.500  0.500  0.000
Tm  0.500  0.000  0.378
Tm  0.000  0.500  0.378
Tm  0.500  0.000  0.866
Tm  0.000  0.500  0.622
Tm  0.000  0.500  0.866
Al  0.000  0.000  0.500
Tm  0.500  0.500  0.500
Tm  0.500  0.500  0.743
Er  0.000  0.000  0.000
Al  0.000  0.000  0.743
Tm  0.500  0.500  0.257
Tm  0.500  0.000  0.134
Tm  0.500  0.000  0.622


(14)
# Na5Gd3H12

Crystalline Na5Gd3H12 at its relaxed geometry (GGA-PBE, Alexandria).

Computed properties:
- DOS(E_F) (states/eV per atom) = 0.530
- space-group type = Ia-3d
- uncorrected energy (eV for the cell shown) = -379.3
- M_tot (μB/f.u.) = 22.23

Cell: 11.184 11.184 11.184 Å, 109.47 109.47 109.47°
Site moments in Bohr magnetons follow the coordinates.
Atoms (fractional coordinates):
H  0.939  0.584  0.171  -0.01
Gd  0.750  0.875  0.625  7.11
Na  0.500  0.500  0.000  0.01
H  0.171  0.087  0.732  -0.01
H  0.916  0.829  0.561  -0.01
H  0.329  0.561  0.416  -0.01
Na  0.500  0.000  0.500  0.01
H  0.587  0.855  0.416  -0.01
H  0.087  0.171  0.232  -0.01
H  0.413  0.268  0.329  -0.01
Na  0.125  0.750  0.375  0.01
H  0.084  0.913  0.145  -0.01
H  0.671  0.439  0.584  -0.01
H  0.084  0.171  0.439  -0.01
Na  0.250  0.875  0.125  0.01
Na  0.000  0.000  0.000  0.01
Na  0.250  0.375  0.625  0.01
H  0.916  0.087  0.855  -0.01
H  0.913  0.829  0.768  -0.01
H  0.061  0.416  0.829  -0.01
H  0.584  0.939  0.671  -0.01
H  0.232  0.671  0.087  -0.01
Na  0.375  0.125  0.750  0.01
H  0.645  0.061  0.232  -0.01
H  0.561  0.232  0.145  -0.01
H  0.645  0.584  0.913  -0.01
H  0.768  0.439  0.355  -0.01
Gd  0.875  0.125  0.250  7.11
H  0.145  0.413  0.084  -0.01
Na  0.750  0.125  0.875  0.01
H  0.232  0.561  0.645  -0.01
Gd  0.125  0.250  0.875  7.11
Gd  0.375  0.750  0.625  7.11
H  0.087  0.916  0.355  -0.01
H  0.587  0.732  0.671  -0.01
Gd  0.250  0.125  0.375  7.11
H  0.561  0.329  0.916  -0.01
H  0.939  0.355  0.268  -0.01
H  0.329  0.768  0.413  -0.01
Na  0.125  0.375  0.250  0.01
Na  0.500  0.000  0.000  0.01
Na  0.000  0.000  0.500  0.01
Na  0.500  0.500  0.500  0.01
Na  0.625  0.875  0.250  0.01
H  0.732  0.587  0.171  -0.01
H  0.268  0.855  0.939  -0.01
H  0.355  0.939  0.768  -0.01
H  0.913  0.084  0.645  -0.01
Na  0.875  0.625  0.750  0.01
H  0.061  0.645  0.732  -0.01
Na  0.375  0.250  0.125  0.01
H  0.439  0.768  0.855  -0.01
H  0.855  0.268  0.439  -0.01
Na  0.750  0.625  0.375  0.01
H  0.732  0.145  0.061  -0.01
Gd  0.250  0.625  0.875  7.11
H  0.768  0.329  0.913  -0.01
H  0.268  0.413  0.829  -0.01
H  0.416  0.355  0.587  -0.01
Gd  0.625  0.250  0.375  7.11
Gd  0.125  0.875  0.750  7.11
H  0.829  0.916  0.061  -0.01
H  0.413  0.145  0.584  -0.01
Gd  0.875  0.750  0.125  7.11
H  0.671  0.232  0.587  -0.01
H  0.855  0.587  0.916  -0.01
Na  0.000  0.500  0.000  0.01
H  0.829  0.913  0.268  -0.01
H  0.584  0.645  0.413  -0.01
H  0.171  0.084  0.939  -0.01
H  0.145  0.732  0.561  -0.01
H  0.355  0.416  0.087  -0.01
Na  0.875  0.250  0.625  0.01
Gd  0.625  0.375  0.750  7.11
Gd  0.375  0.625  0.250  7.11
H  0.416  0.061  0.329  -0.01
Gd  0.750  0.375  0.125  7.11
H  0.439  0.671  0.084  -0.01
Na  0.625  0.750  0.875  0.01
Na  0.000  0.500  0.500  0.01


(15)
# BiPb8Au2

Crystalline BiPb8Au2 at its relaxed geometry (GGA-PBE, Alexandria).

Computed properties:
- DOS(E_F) (states/eV per atom) = 0.534
- space-group type = Cm
- formation energy from the elements (eV per formula unit) = -0.1
- M_tot (μB/f.u.) = 0.00

Cell: 5.909 7.876 7.876 Å, 110.17 98.15 98.15°
Atoms (fractional coordinates):
Pb  0.378  0.927  0.668
Pb  0.622  0.067  0.327
Au  0.500  0.676  0.319
Pb  0.000  0.250  0.744
Au  0.500  0.319  0.676
Pb  0.622  0.327  0.067
Bi  0.999  0.996  0.996
Pb  0.000  0.744  0.250
Pb  0.188  0.371  0.371
Pb  0.378  0.668  0.927
Pb  0.813  0.622  0.622


(16)
# Pr2SBr2O

Crystalline Pr2SBr2O at its relaxed geometry (GGA-PBE, Alexandria).

Computed properties:
- raw formation energy (meV/atom) = -2368
- DOS(E_F) (states/eV per atom) = 0.000
- space-group type = Pmc2_1
- M_tot (μB/f.u.) = 0.00

Cell: 4.092 7.306 11.545 Å, 90.00 90.00 90.00°
Atoms (fractional coordinates):
Br  0.500  0.389  0.887
Br  0.500  0.889  0.113
S  0.000  0.537  0.558
O  0.500  0.676  0.377
Pr  0.000  0.248  0.721
Br  0.000  0.354  0.228
S  0.000  0.037  0.442
Pr  0.500  0.341  0.434
Pr  0.000  0.748  0.279
O  0.500  0.176  0.623
Br  0.000  0.854  0.772
Pr  0.500  0.841  0.566


(17)
# LuHfOs

Crystalline LuHfOs at its relaxed geometry (GGA-PBE, Alexandria).

Computed properties:
- DOS(E_F) (states/eV per atom) = 1.088
- space-group type = F-43m
- formation energy from the elements (eV per formula unit) = -0.8
- M_tot (μB/f.u.) = 0.00

Cell: 4.593 4.593 4.593 Å, 60.00 60.00 60.00°
Atoms (fractional coordinates):
Lu  0.500  0.500  0.500
Os  0.250  0.250  0.250
Hf  0.000  0.000  0.000


(18)
# Y2CdSe

Crystalline Y2CdSe at its relaxed geometry (GGA-PBE, Alexandria).

Computed properties:
- raw formation energy (meV/atom) = -715
- DOS(E_F) (states/eV per atom) = 0.771
- space-group type = Immm
- M_tot (μB/f.u.) = 0.00
- E above lowest polymorph (eV/atom) = 0.323

Cell: 5.576 5.576 5.576 Å, 135.50 117.31 80.10°
Atoms (fractional coordinates):
Se  0.250  0.750  0.500
Cd  0.750  0.250  0.500
Y  0.477  0.477  0.000
Y  0.023  0.023  0.000


(19)
# Ba3Y2O6

Crystalline Ba3Y2O6 at its relaxed geometry (GGA-PBE, Alexandria).

Computed properties:
- raw formation energy (meV/atom) = -2881
- DOS(E_F) (states/eV per atom) = 0.000
- space-group type = Pbam
- M_tot (μB/f.u.) = 0.00
- E above lowest polymorph (eV/atom) = 0.057

Cell: 3.593 12.501 18.253 Å, 90.00 90.00 90.00°
Atoms (fractional coordinates):
O  0.500  0.985  0.339
Y  0.000  0.128  0.042
Y  0.000  0.872  0.958
O  0.500  0.485  0.161
O  0.000  0.289  0.435
Y  0.000  0.617  0.859
O  0.000  0.802  0.257
Y  0.000  0.372  0.542
O  0.500  0.751  0.415
O  0.000  0.053  0.151
O  0.000  0.698  0.757
Ba  0.500  0.353  0.732
O  0.500  0.249  0.585
O  0.500  0.500  0.500
Ba  0.500  0.132  0.449
Y  0.000  0.883  0.359
Ba  0.500  0.368  0.949
O  0.000  0.553  0.349
O  0.500  0.000  0.000
O  0.500  0.015  0.661
Y  0.000  0.383  0.141
Ba  0.500  0.647  0.268
Ba  0.500  0.632  0.051
O  0.500  0.515  0.839
Y  0.000  0.628  0.458
O  0.000  0.000  0.500
O  0.000  0.302  0.243
Ba  0.500  0.147  0.232
O  0.000  0.198  0.743
Ba  0.500  0.853  0.768
O  0.000  0.211  0.935
O  0.000  0.447  0.651
Ba  0.500  0.892  0.151
Ba  0.500  0.108  0.849
O  0.500  0.749  0.915
Ba  0.500  0.608  0.651
O  0.000  0.947  0.849
O  0.000  0.711  0.565
Y  0.000  0.117  0.641
O  0.000  0.789  0.065
O  0.500  0.251  0.085
Ba  0.500  0.392  0.349
Ba  0.500  0.868  0.551
O  0.000  0.500  0.000